Entry from the Alexandria database: crystalline Sc2SbMo at its relaxed geometry (PBE).

Values from the calculation:
E above lowest polymorph   60 meV/atom
SG   Fm-3m (225)
DOS(E_F)   2.3 states/eV per cell
VASP energy   -7.166 eV/atom
Calculated volume   19.6 Å³ per atom

Cell lengths 4.800, 4.800, 4.800 Å; angles 60.00, 60.00, 60.00 degrees
Fractional positions:
Sc 0.250 0.250 0.250
Sc 0.750 0.750 0.750
Sb 0.500 0.500 0.500
Mo 0.000 0.000 0.000